Record 1
## Cu4Au5 (PBEsol)

Data for a geometry-optimized Cu4Au5 structure.

a b c (Å): 8.179 8.179 3.938
angles (deg): 90.00 90.00 90.00
Space group I4/mmm (No. 139)
Unique sites:
Cu  0.000  0.347  0.000 (multiplicity 8)
Au  0.000  0.000  0.000 (multiplicity 2)
Au  0.171  0.171  0.500 (multiplicity 8)

Results
The spin magnetization is 0.000 μB/atom. Its final energy is -4.108 eV/atom. The calculation puts the formation energy from the elements at 0.00 eV per atom. Its excess energy over the best structure of this formula in the dataset is 0 meV/atom.

Record 2
## CuAu3 (PBEsol)

Data for a geometry-optimized CuAu3 structure.

a b c (Å): 6.324 6.324 6.324
angles (deg): 90.00 90.00 90.00
Space group Fm-3m (No. 225)
Unique sites:
Cu  0.000  0.000  0.000 (multiplicity 4)
Au  0.000  0.000  0.500 (multiplicity 4)
Au  0.250  0.250  0.250 (multiplicity 8)

Results
The spin magnetization is 0.000 μB/atom. Its final energy is -4.001 eV/atom. The calculation puts the formation energy from the elements at 0.03 eV per atom.

Record 3
## Cu3Au (PBEsol)

Data for a geometry-optimized Cu3Au structure.

a b c (Å): 3.711 3.711 3.711
angles (deg): 90.00 90.00 90.00
Space group Pm-3m (No. 221)
Unique sites:
Cu  0.000  0.000  0.500 (multiplicity 3)
Au  0.500  0.500  0.500 (multiplicity 1)

Results
The spin magnetization is 0.000 μB/atom. Its final energy is -4.275 eV/atom. The calculation puts the formation energy from the elements at -0.04 eV per atom.

Record 4
## CuAu2 (PBEsol)

Data for a geometry-optimized CuAu2 structure.

a b c (Å): 7.4929 7.4929 2.8118
angles (deg): 90.00 90.00 120.00
Space group P-62m (No. 189)
Unique sites:
Cu  0.0000  0.0000  0.0000 (multiplicity 1)
Cu  0.3333  0.6667  0.5000 (multiplicity 2)
Au  0.0000  0.3695  0.0000 (multiplicity 3)
Au  0.0000  0.7029  0.5000 (multiplicity 3)

Results
The spin magnetization is 0.000 μB/atom. Its final energy is -4.078 eV/atom. The calculation puts the formation energy from the elements at -0.02 eV per atom. Its excess energy over the best structure of this formula in the dataset is 23 meV/atom.

Record 5
## CuAu3 (PBEsol)

Data for a geometry-optimized CuAu3 structure.

a b c (Å): 2.831 2.831 7.786
angles (deg): 90.00 90.00 90.00
Space group P4/mmm (No. 123)
Unique sites:
Cu  0.000  0.000  0.000 (multiplicity 1)
Au  0.000  0.000  0.500 (multiplicity 1)
Au  0.500  0.500  0.227 (multiplicity 2)

Results
The spin magnetization is 0.000 μB/atom. Its final energy is -4.056 eV/atom. The calculation puts the formation energy from the elements at -0.03 eV per atom.

Record 6
## CuAu3 (PBEsol)

Data for a geometry-optimized CuAu3 structure.

a b c (Å): 2.844 3.255 6.759
angles (deg): 90.00 90.00 90.00
Space group Pmmm (No. 47)
Unique sites:
Cu  0.000  0.000  0.000 (multiplicity 1)
Au  0.000  0.000  0.500 (multiplicity 1)
Au  0.500  0.500  0.224 (multiplicity 2)

Results
The spin magnetization is 0.000 μB/atom. Its final energy is -4.046 eV/atom. The calculation puts the formation energy from the elements at -0.02 eV per atom.

Record 7
## Cu3Au (PBEsol)

Data for a geometry-optimized Cu3Au structure.

a b c (Å): 8.2991 8.2991 2.6177
angles (deg): 90.00 90.00 120.00
Space group R-3m (No. 166, hexagonal axes)
Unique sites:
Cu  0.0000  0.5000  0.0000 (multiplicity 9)
Au  0.0000  0.0000  0.0000 (multiplicity 3)

Results
The spin magnetization is 0.000 μB/atom. Its final energy is -4.169 eV/atom. The calculation puts the formation energy from the elements at 0.06 eV per atom.

Record 8
## CuAu2 (PBEsol)

Data for a geometry-optimized CuAu2 structure.

a b c (Å): 2.818 3.461 9.345
angles (deg): 90.00 90.00 90.00
Space group Immm (No. 71)
Unique sites:
Cu  0.000  0.000  0.000 (multiplicity 2)
Au  0.000  0.000  0.345 (multiplicity 4)

Results
The spin magnetization is 0.000 μB/atom. Its final energy is -4.091 eV/atom. The calculation puts the formation energy from the elements at -0.03 eV per atom. Its excess energy over the best structure of this formula in the dataset is 11 meV/atom.

Question: Which formula does entry 7 have?
Answer: Cu3Au

Repeat the seventh record exactly.
## Cu3Au (PBEsol)

Data for a geometry-optimized Cu3Au structure.

a b c (Å): 8.2991 8.2991 2.6177
angles (deg): 90.00 90.00 120.00
Space group R-3m (No. 166, hexagonal axes)
Unique sites:
Cu  0.0000  0.5000  0.0000 (multiplicity 9)
Au  0.0000  0.0000  0.0000 (multiplicity 3)

Results
The spin magnetization is 0.000 μB/atom. Its final energy is -4.169 eV/atom. The calculation puts the formation energy from the elements at 0.06 eV per atom.

Question: What is the formula in the third record?
Answer: Cu3Au